Entry 1:
# YZr2Fe PBE optimized geometry
# density: 6.30 g cm⁻³
# uncorrected energy: -7.71 eV per atom
# ΔE_f: 0.295 eV/atom
# total moment: 1.02 Bohr magnetons per cell
data_YZr2Fe
_cell_length_a 3.619
_cell_length_b 4.723
_cell_length_c 5.047
_cell_angle_alpha 90.00
_cell_angle_beta 90.00
_cell_angle_gamma 90.00
_symmetry_space_group_name_H-M 'P 1'
_symmetry_Int_Tables_number 1
_symmetry_space_group_name_Hall 'P 1'
loop_
_atom_site_label
_atom_site_type_symbol
_atom_site_fract_x
_atom_site_fract_y
_atom_site_fract_z
_atom_site_occupancy
Y1 Y 0.000 0.500 0.500 1
Zr1 Zr 0.500 0.500 0.000 1
Zr2 Zr 0.000 0.000 0.000 1
Fe1 Fe 0.500 0.000 0.500 1


Entry 2:
# CoPb3 PBE optimized geometry
# density: 9.90 g cm⁻³
# uncorrected energy: -4.23 eV per atom
# ΔE_f: 0.326 eV/atom
# total moment: 1.01 Bohr magnetons per cell
data_CoPb3
_cell_length_a 8.897
_cell_length_b 8.897
_cell_length_c 3.331
_cell_angle_alpha 90.00
_cell_angle_beta 90.00
_cell_angle_gamma 120.00
_symmetry_space_group_name_H-M 'P 1'
_symmetry_Int_Tables_number 1
_symmetry_space_group_name_Hall 'P 1'
loop_
_atom_site_label
_atom_site_type_symbol
_atom_site_fract_x
_atom_site_fract_y
_atom_site_fract_z
_atom_site_occupancy
Pb1 Pb 0.196 0.392 0.750 1
Pb2 Pb 0.804 0.608 0.250 1
Pb3 Pb 0.392 0.196 0.250 1
Pb4 Pb 0.608 0.804 0.750 1
Pb5 Pb 0.196 0.804 0.750 1
Pb6 Pb 0.804 0.196 0.250 1
Co1 Co 0.333 0.667 0.250 1
Co2 Co 0.667 0.333 0.750 1


Which value of density does entry 1 give?
6.30 g cm⁻³


Repeat the second record exactly.
# CoPb3 PBE optimized geometry
# density: 9.90 g cm⁻³
# uncorrected energy: -4.23 eV per atom
# ΔE_f: 0.326 eV/atom
# total moment: 1.01 Bohr magnetons per cell
data_CoPb3
_cell_length_a 8.897
_cell_length_b 8.897
_cell_length_c 3.331
_cell_angle_alpha 90.00
_cell_angle_beta 90.00
_cell_angle_gamma 120.00
_symmetry_space_group_name_H-M 'P 1'
_symmetry_Int_Tables_number 1
_symmetry_space_group_name_Hall 'P 1'
loop_
_atom_site_label
_atom_site_type_symbol
_atom_site_fract_x
_atom_site_fract_y
_atom_site_fract_z
_atom_site_occupancy
Pb1 Pb 0.196 0.392 0.750 1
Pb2 Pb 0.804 0.608 0.250 1
Pb3 Pb 0.392 0.196 0.250 1
Pb4 Pb 0.608 0.804 0.750 1
Pb5 Pb 0.196 0.804 0.750 1
Pb6 Pb 0.804 0.196 0.250 1
Co1 Co 0.333 0.667 0.250 1
Co2 Co 0.667 0.333 0.750 1


Look up the total moment of the first one.
1.02 Bohr magnetons per cell